# SrSmAg4

Crystalline SrSmAg4 at its relaxed geometry (PBE, Alexandria).

a b c (Å): 3.7405 4.8682 8.2702
angles (deg): 90.00 90.00 90.00
Fractional coordinates of all 6 atoms:
Sm  0.9986  0.9973  0.4982
Sr  0.9986  0.4973  0.9982
Ag  0.4986  0.4973  0.6620
Ag  0.4985  0.9973  0.1713
Ag  0.4986  0.4973  0.3342
Ag  0.4986  0.9973  0.8250

Output
The formation energy is -24 kJ per mole of atoms. As for the space group: Pmmm, No. 47. The value obtained for the theoretical density is 7.38 g/cm³. The total magnetization comes out at 0.0 μB/f.u.

# Sr2SmAg4

Crystalline Sr2SmAg4 at its relaxed geometry (PBE, Alexandria).

a b c (Å): 5.5738 5.5738 7.8600
angles (deg): 110.77 110.77 90.00
Fractional coordinates of all 7 atoms:
Sr  0.2797  0.2797  0.5594
Sr  0.7203  0.7203  0.4406
Ag  0.8943  0.3943  0.7887
Ag  0.6057  0.1057  0.2113
Ag  0.1057  0.6057  0.2113
Ag  0.3943  0.8943  0.7887
Sm  0.0000  0.0000  0.0000

Output
The formation energy is -9 kJ per mole of atoms. As for the space group: I4/mmm, No. 139. The value obtained for the theoretical density is 5.95 g/cm³. The total magnetization comes out at 0.0 μB/f.u.

# SrSm3Ag4

Crystalline SrSm3Ag4 at its relaxed geometry (PBE, Alexandria).

a b c (Å): 5.3241 7.4776 10.6508
angles (deg): 90.00 90.00 90.00
Fractional coordinates of all 16 atoms:
Sm  0.5003  0.0000  0.7500
Sm  0.4997  0.5000  0.2500
Sm  0.4997  0.0000  0.2500
Sm  0.5003  0.5000  0.7500
Sm  0.0000  0.0000  0.0000
Sm  0.0000  0.0000  0.5000
Sr  0.0000  0.5000  0.5000
Sr  0.0000  0.5000  0.0000
Ag  0.5000  0.7652  0.0000
Ag  0.5000  0.7652  0.5000
Ag  0.5000  0.2348  0.0000
Ag  0.0006  0.2350  0.7500
Ag  0.9994  0.2350  0.2500
Ag  0.9994  0.7650  0.2500
Ag  0.5000  0.2348  0.5000
Ag  0.0006  0.7650  0.7500

Output
The formation energy is -25 kJ per mole of atoms. As for the space group: P4/mmm, No. 123. The value obtained for the theoretical density is 7.60 g/cm³. The total magnetization comes out at 0.0 μB/f.u.

# Sr3SmAg4

Crystalline Sr3SmAg4 at its relaxed geometry (PBE, Alexandria).

a b c (Å): 3.8638 3.8638 15.6206
angles (deg): 90.00 90.00 90.00
Fractional coordinates of all 8 atoms:
Sr  0.5000  0.5000  0.2431
Sr  0.5000  0.5000  0.7569
Sr  0.5000  0.5000  0.5000
Sm  0.5000  0.5000  0.0000
Ag  0.0000  0.0000  0.1042
Ag  0.0000  0.0000  0.3724
Ag  0.0000  0.0000  0.6276
Ag  0.0000  0.0000  0.8958

Output
The formation energy is -26 kJ per mole of atoms. As for the space group: P4/mmm, No. 123. The value obtained for the theoretical density is 6.01 g/cm³. The total magnetization comes out at 0.0 μB/f.u.

# Sr2SmAg

Crystalline Sr2SmAg at its relaxed geometry (PBE, Alexandria).

a b c (Å): 3.7854 3.7854 10.1790
angles (deg): 90.00 90.00 90.00
Fractional coordinates of all 4 atoms:
Ag  0.5000  0.5000  0.0000
Sm  0.5000  0.5000  0.5000
Sr  0.0000  0.0000  0.7953
Sr  0.0000  0.0000  0.2047

Output
The formation energy is -1 kJ per mole of atoms. As for the space group: P4/mmm, No. 123. The value obtained for the theoretical density is 4.93 g/cm³. The total magnetization comes out at 0.0 μB/f.u.

# Sr3Sm2AgTe6

Crystalline Sr3Sm2AgTe6 at its relaxed geometry (PBE, Alexandria).

a b c (Å): 7.9489 7.9489 7.9299
angles (deg): 99.62 99.62 119.98
Fractional coordinates of all 12 atoms:
Te  0.4096  0.0774  0.2321
Te  0.0774  0.4096  0.2321
Te  0.7449  0.7449  0.2310
Te  0.2551  0.2551  0.7690
Te  0.9226  0.5904  0.7679
Te  0.5904  0.9226  0.7679
Sr  0.8342  0.1658  0.5000
Sr  0.5000  0.5000  0.5000
Sr  0.1658  0.8342  0.5000
Sm  0.3330  0.6670  0.0000
Sm  0.6670  0.3330  0.0000
Ag  0.0000  0.0000  0.0000

Output
The raw formation energy comes out at -1.359 eV per atom. As for the space group: C2/m, No. 12. The value obtained for the theoretical density is 5.83 g/cm³. The total magnetization comes out at 0.0 μB/f.u.

# SrSm2Tl2Ag2

Crystalline SrSm2Tl2Ag2 at its relaxed geometry (PBE, Alexandria).

a b c (Å): 4.9983 4.9983 9.9722
angles (deg): 75.49 75.49 60.00
Fractional coordinates of all 7 atoms:
Tl  0.2524  0.2524  0.2429
Tl  0.7476  0.7476  0.7571
Ag  0.5885  0.5885  0.2346
Ag  0.4115  0.4115  0.7654
Sr  0.0000  0.0000  0.0000
Sm  0.1271  0.1271  0.6186
Sm  0.8729  0.8729  0.3814

Output
The formation energy is -21 kJ per mole of atoms. As for the space group: R-3m, No. 166. The value obtained for the theoretical density is 8.14 g/cm³. The total magnetization comes out at 0.0 μB/f.u.

# SrSmZnAg

Crystalline SrSmZnAg at its relaxed geometry (PBE, Alexandria).

a b c (Å): 5.3447 5.3447 5.3447
angles (deg): 60.00 60.00 60.00
Fractional coordinates of all 4 atoms:
Sm  0.0000  0.0000  0.0000
Sr  0.5000  0.5000  0.5000
Zn  0.7500  0.7500  0.7500
Ag  0.2500  0.2500  0.2500

Output
The formation energy is -20 kJ per mole of atoms. As for the space group: F-43m, No. 216. The value obtained for the theoretical density is 6.33 g/cm³. The total magnetization comes out at 0.0 μB/f.u.

# Sm2TaAg

Crystalline Sm2TaAg at its relaxed geometry (PBE, Alexandria).

a b c (Å): 3.1578 3.1578 11.5733
angles (deg): 82.16 82.16 60.00
Fractional coordinates of all 4 atoms:
Ag  0.5000  0.5000  0.5000
Sm  0.0877  0.0877  0.7370
Sm  0.9123  0.9123  0.2630
Ta  0.0000  0.0000  0.0000

Output
The formation energy is 56 kJ per mole of atoms. As for the space group: R-3m, No. 166. The value obtained for the theoretical density is 9.92 g/cm³. The total magnetization comes out at 0.1 μB/f.u.

# TbSmAg4

Crystalline TbSmAg4 at its relaxed geometry (PBE, Alexandria).

a b c (Å): 3.9549 3.9462 9.6671
angles (deg): 90.00 90.00 89.99
Fractional coordinates of all 6 atoms:
Sm  0.5013  0.4973  0.9981
Ag  0.5013  0.9973  0.2524
Ag  0.5013  0.9973  0.7438
Ag  0.0013  0.4973  0.7443
Ag  0.0013  0.4973  0.2519
Tb  0.0013  0.9973  0.4981

Output
The formation energy is 1 kJ per mole of atoms. As for the space group: P4/mmm, No. 123. The value obtained for the theoretical density is 8.15 g/cm³. The total magnetization comes out at 0.0 μB/f.u.

# TbSm2Ag

Crystalline TbSm2Ag at its relaxed geometry (PBE, Alexandria).

a b c (Å): 4.7853 6.3366 8.5241
angles (deg): 90.00 90.00 112.19
Fractional coordinates of all 8 atoms:
Ag  0.7794  0.5595  0.7500
Ag  0.2206  0.4405  0.2500
Sm  0.6401  0.2798  0.4586
Sm  0.3599  0.7202  0.9586
Sm  0.6401  0.2798  0.0414
Sm  0.3599  0.7202  0.5414
Tb  0.9500  0.9001  0.2500
Tb  0.0500  0.0999  0.7500

Output
The formation energy is -5 kJ per mole of atoms. As for the space group: Cmcm, No. 63. The value obtained for the theoretical density is 7.88 g/cm³. The total magnetization comes out at 0.0 μB/f.u.

# Tb4Sm5Ag

Crystalline Tb4Sm5Ag at its relaxed geometry (PBE, Alexandria).

a b c (Å): 3.6080 3.6080 24.2015
angles (deg): 90.00 90.00 90.00
Fractional coordinates of all 10 atoms:
Ag  0.0000  0.0000  0.0000
Sm  0.5000  0.5000  0.0812
Sm  0.5000  0.5000  0.9188
Sm  0.5000  0.5000  0.2905
Sm  0.5000  0.5000  0.7095
Sm  0.5000  0.5000  0.5000
Tb  0.0000  0.0000  0.6047
Tb  0.0000  0.0000  0.1870
Tb  0.0000  0.0000  0.3953
Tb  0.0000  0.0000  0.8129

Output
The formation energy is -3 kJ per mole of atoms. As for the space group: P4/mmm, No. 123. The value obtained for the theoretical density is 7.88 g/cm³. The total magnetization comes out at 0.0 μB/f.u.

# TbSmAg

Crystalline TbSmAg at its relaxed geometry (PBE, Alexandria).

a b c (Å): 3.6122 3.6122 6.9246
angles (deg): 105.12 105.12 90.00
Each line ends with the local moment (μB).
Fractional coordinates of all 3 atoms:
Tb  0.0198  0.0198  0.0396  0.12
Sm  0.3177  0.3177  0.6354  0.09
Ag  0.6625  0.6625  0.3250  0.00

Output
The formation energy is -15 kJ per mole of atoms. As for the space group: I4mm, No. 107. The value obtained for the theoretical density is 8.25 g/cm³. The total magnetization comes out at 0.4 μB/f.u.

# Tb2Sm2Ag

Crystalline Tb2Sm2Ag at its relaxed geometry (PBE, Alexandria).

a b c (Å): 3.6054 3.6054 11.7274
angles (deg): 98.84 98.84 90.00
Fractional coordinates of all 5 atoms:
Tb  0.5822  0.5822  0.1644
Tb  0.4178  0.4178  0.8356
Sm  0.1941  0.1941  0.3881
Sm  0.8059  0.8059  0.6119
Ag  0.0000  0.0000  0.0000

Output
The formation energy is -10 kJ per mole of atoms. As for the space group: I4/mmm, No. 139. The value obtained for the theoretical density is 8.11 g/cm³. The total magnetization comes out at 0.0 μB/f.u.

# Tb3Sm4Ag4

Crystalline Tb3Sm4Ag4 at its relaxed geometry (PBE, Alexandria).

a b c (Å): 3.6735 9.4482 10.2651
angles (deg): 117.40 100.31 90.00
Fractional coordinates of all 11 atoms:
Sm  0.6605  0.4742  0.3210
Sm  0.6605  0.8468  0.3210
Sm  0.3395  0.1532  0.6790
Sm  0.3395  0.5258  0.6790
Ag  0.2596  0.7596  0.5191
Ag  0.7404  0.2404  0.4809
Ag  0.5000  0.8083  0.0000
Ag  0.5000  0.1917  0.0000
Tb  0.0000  0.5000  0.0000
Tb  0.1010  0.1010  0.2021
Tb  0.8990  0.8990  0.7979

Output
The formation energy is -10 kJ per mole of atoms. As for the space group: Immm, No. 71. The value obtained for the theoretical density is 8.09 g/cm³. The total magnetization comes out at 0.0 μB/f.u.

# Tb2SmAg4

Crystalline Tb2SmAg4 at its relaxed geometry (PBE, Alexandria).

a b c (Å): 6.2448 6.2448 6.2448
angles (deg): 110.97 108.73 108.73
Fractional coordinates of all 7 atoms:
Ag  0.0000  0.0000  0.5000
Ag  0.5000  0.0000  0.0000
Ag  0.0000  0.5000  0.0000
Ag  0.5000  0.5000  0.5000
Sm  0.0000  0.0000  0.0000
Tb  0.5000  0.0000  0.5000
Tb  0.5000  0.5000  0.0000

Output
The formation energy is -8 kJ per mole of atoms. As for the space group: I4/mmm, No. 139. The value obtained for the theoretical density is 7.97 g/cm³. The total magnetization comes out at 0.0 μB/f.u.

# Tb5Sm4Ag

Crystalline Tb5Sm4Ag at its relaxed geometry (PBE, Alexandria).

a b c (Å): 3.5936 3.5936 24.1856
angles (deg): 90.00 90.00 90.00
Fractional coordinates of all 10 atoms:
Ag  0.0000  0.0000  0.0000
Sm  0.0000  0.0000  0.3949
Sm  0.0000  0.0000  0.1850
Sm  0.0000  0.0000  0.6051
Sm  0.0000  0.0000  0.8150
Tb  0.5000  0.5000  0.5000
Tb  0.5000  0.5000  0.2894
Tb  0.5000  0.5000  0.9217
Tb  0.5000  0.5000  0.0783
Tb  0.5000  0.5000  0.7106

Output
The formation energy is -4 kJ per mole of atoms. As for the space group: P4/mmm, No. 123. The value obtained for the theoretical density is 8.00 g/cm³. The total magnetization comes out at 0.0 μB/f.u.

# Tb5SmAg4

Crystalline Tb5SmAg4 at its relaxed geometry (PBE, Alexandria).

a b c (Å): 3.6268 3.6268 19.7935
angles (deg): 90.00 90.00 90.00
Fractional coordinates of all 10 atoms:
Sm  0.0000  0.0000  0.0000
Tb  0.5000  0.5000  0.8730
Tb  0.5000  0.5000  0.5000
Tb  0.5000  0.5000  0.6874
Tb  0.5000  0.5000  0.1270
Tb  0.5000  0.5000  0.3126
Ag  0.0000  0.0000  0.4065
Ag  0.0000  0.0000  0.7808
Ag  0.0000  0.0000  0.2192
Ag  0.0000  0.0000  0.5935

Output
The formation energy is -24 kJ per mole of atoms. As for the space group: P4/mmm, No. 123. The value obtained for the theoretical density is 8.78 g/cm³. The total magnetization comes out at 0.0 μB/f.u.

# TbSm5Ag6

Crystalline TbSm5Ag6 at its relaxed geometry (PBE, Alexandria).

a b c (Å): 5.2642 7.3232 8.3301
angles (deg): 89.99 71.58 89.98
Fractional coordinates of all 12 atoms:
Ag  0.5001  0.2455  0.0000
Ag  0.8353  0.7525  0.3296
Ag  0.1647  0.2475  0.6704
Ag  0.8352  0.2475  0.3296
Ag  0.4999  0.7545  0.0000
Ag  0.1648  0.7525  0.6704
Sm  0.6673  0.5000  0.6654
Sm  0.3337  0.0000  0.3325
Sm  0.0000  0.5000  0.0000
Sm  0.3327  0.5000  0.3346
Sm  0.6663  0.0000  0.6675
Tb  0.0000  0.0000  0.0000

Output
The formation energy is -28 kJ per mole of atoms. As for the space group: Cmmm, No. 65. The value obtained for the theoretical density is 8.49 g/cm³. The total magnetization comes out at 0.0 μB/f.u.

# TbSmAg4

Crystalline TbSmAg4 at its relaxed geometry (PBE, Alexandria).

a b c (Å): 5.7372 5.7372 5.7372
angles (deg): 60.00 60.00 60.00
Fractional coordinates of all 6 atoms:
Ag  0.6248  0.6248  0.6248
Ag  0.6248  0.1255  0.6248
Ag  0.6248  0.6248  0.1255
Ag  0.1255  0.6248  0.6248
Tb  0.2500  0.2500  0.2500
Sm  0.0000  0.0000  0.0000

Output
The formation energy is -16 kJ per mole of atoms. As for the space group: F-43m, No. 216. The value obtained for the theoretical density is 9.21 g/cm³. The total magnetization comes out at 0.0 μB/f.u.

# Tb4SmAg5

Crystalline Tb4SmAg5 at its relaxed geometry (PBE, Alexandria).

a b c (Å): 3.6348 3.6348 18.6059
angles (deg): 90.00 90.00 90.00
Fractional coordinates of all 10 atoms:
Sm  0.0000  0.0000  0.0000
Ag  0.5000  0.5000  0.5000
Ag  0.5000  0.5000  0.8953
Ag  0.5000  0.5000  0.6986
Ag  0.5000  0.5000  0.1047
Ag  0.5000  0.5000  0.3014
Tb  0.0000  0.0000  0.2022
Tb  0.0000  0.0000  0.4007
Tb  0.0000  0.0000  0.7978
Tb  0.0000  0.0000  0.5993

Output
The formation energy is -30 kJ per mole of atoms. As for the space group: P4/mmm, No. 123. The value obtained for the theoretical density is 8.95 g/cm³. The total magnetization comes out at 0.0 μB/f.u.

# TbSm2Ag

Crystalline TbSm2Ag at its relaxed geometry (PBE, Alexandria).

a b c (Å): 3.6062 3.6062 10.8364
angles (deg): 80.42 80.42 60.00
Fractional coordinates of all 4 atoms:
Sm  0.7420  0.7420  0.7739
Sm  0.2580  0.2580  0.2261
Ag  0.0000  0.0000  0.0000
Tb  0.5000  0.5000  0.5000

Output
The formation energy is -1 kJ per mole of atoms. As for the space group: R-3m, No. 166. The value obtained for the theoretical density is 7.87 g/cm³. The total magnetization comes out at 0.0 μB/f.u.

# TbSm2Ag

Crystalline TbSm2Ag at its relaxed geometry (PBE, Alexandria).

a b c (Å): 5.1743 5.1743 9.4911
angles (deg): 105.82 105.82 90.00
Fractional coordinates of all 8 atoms:
Sm  0.3584  0.3584  0.7169
Sm  0.6416  0.6416  0.2831
Sm  0.5000  0.0000  0.0000
Sm  0.0000  0.5000  0.0000
Ag  0.7500  0.2500  0.5000
Ag  0.2500  0.7500  0.5000
Tb  0.1460  0.1460  0.2921
Tb  0.8540  0.8540  0.7079

Output
The formation energy is -12 kJ per mole of atoms. As for the space group: I4/mmm, No. 139. The value obtained for the theoretical density is 8.04 g/cm³. The total magnetization comes out at 0.0 μB/f.u.

# TbSm2Ag3

Crystalline TbSm2Ag3 at its relaxed geometry (PBE, Alexandria).

a b c (Å): 3.6772 3.6772 11.1565
angles (deg): 90.00 90.00 90.00
Fractional coordinates of all 6 atoms:
Ag  0.0000  0.0000  0.0000
Ag  0.0000  0.0000  0.3400
Ag  0.0000  0.0000  0.6600
Sm  0.5000  0.5000  0.1688
Sm  0.5000  0.5000  0.8312
Tb  0.5000  0.5000  0.5000

Output
The formation energy is -28 kJ per mole of atoms. As for the space group: P4/mmm, No. 123. The value obtained for the theoretical density is 8.62 g/cm³. The total magnetization comes out at 0.0 μB/f.u.

# TbSm4Ag

Crystalline TbSm4Ag at its relaxed geometry (PBE, Alexandria).

a b c (Å): 5.5283 6.5061 10.8534
angles (deg): 90.00 104.75 90.00
Fractional coordinates of all 12 atoms:
Ag  0.3944  0.4712  0.7888
Ag  0.6056  0.9712  0.2112
Sm  0.2531  0.5942  0.5062
Sm  0.9358  0.2098  0.8715
Sm  0.4652  0.8802  0.9303
Sm  0.6778  0.5686  0.3556
Sm  0.7469  0.0942  0.4938
Sm  0.0642  0.7098  0.1285
Sm  0.5348  0.3802  0.0697
Sm  0.3222  0.0686  0.6444
Tb  0.8668  0.7093  0.7336
Tb  0.1332  0.2093  0.2664

Output
The formation energy is 4 kJ per mole of atoms. As for the space group: Cmc2_1, No. 36. The value obtained for the theoretical density is 7.64 g/cm³. The total magnetization comes out at 0.0 μB/f.u.